No. 1
First-principles (PBE-GGA) data for a geometry-optimized GeH2I2 structure, as listed in the Alexandria database.

Properties
Crystal system: monoclinic
Magnetic moment, μB per cell: 0.00
Electronic total energy, eV per cell: -30.93
E above lowest polymorph, meV/atom: 0.0

The structure in CIF format:
```
data_GeH2I2
_cell_length_a 7.4005
_cell_length_b 4.2757
_cell_length_c 9.5935
_cell_angle_alpha 90.00
_cell_angle_beta 92.30
_cell_angle_gamma 90.00
_symmetry_space_group_name_H-M 'C 1 2/m 1'
_symmetry_Int_Tables_number 12
loop_
_symmetry_equiv_pos_as_xyz
'x,y,z'
'-x,-y,-z'
'-x,y,-z'
'x,-y,z'
'x+1/2,y+1/2,z'
'-x+1/2,-y+1/2,-z'
'-x+1/2,y+1/2,-z'
'x+1/2,-y+1/2,z'
loop_
_atom_site_label
_atom_site_fract_x
_atom_site_fract_y
_atom_site_fract_z
Ge1 0.0000 0.0000 0.0000
H1 0.0275 0.0000 0.5338
I1 0.1761 0.5000 0.1828
```

---

No. 2
First-principles (PBE-GGA) data for a geometry-optimized K2PuAlSe4 structure, as listed in the Alexandria database.

Properties
Crystal system: orthorhombic
Magnetic moment, μB per cell: 19.95
Electronic total energy, eV per cell: -172.93

The structure in CIF format:
```
data_K2PuAlSe4
_cell_length_a 8.2503
_cell_length_b 8.8013
_cell_length_c 12.1322
_cell_angle_alpha 90.00
_cell_angle_beta 90.00
_cell_angle_gamma 90.00
_symmetry_space_group_name_H-M 'I m m a'
_symmetry_Int_Tables_number 74
_symmetry_space_group_name_Hall '-I 2b 2'
loop_
_atom_site_label
_atom_site_fract_x
_atom_site_fract_y
_atom_site_fract_z
K1 0.0000 0.0000 0.0000
K2 0.2500 0.2500 0.2500
Pu1 0.0000 0.0000 0.5000
Al1 0.2500 0.2500 0.7500
Se1 0.0000 0.0507 0.7413
Se2 0.2286 0.2500 0.5272
```

---

No. 3
First-principles (PBE-GGA) data for a geometry-optimized CeCdAs2 structure, as listed in the Alexandria database.

Properties
ΔH_f (0 K), meV per atom: -725
Crystal system: tetragonal
Magnetic moment, μB per cell: 0.00
Electronic total energy, eV per cell: -19.05
E above lowest polymorph, meV/atom: 0.0

The structure in CIF format:
```
data_CeCdAs2
_cell_length_a 4.7522
_cell_length_b 4.7522
_cell_length_c 3.8437
_cell_angle_alpha 90.00
_cell_angle_beta 90.00
_cell_angle_gamma 90.00
_symmetry_space_group_name_H-M 'P 4/m m m'
_symmetry_Int_Tables_number 123
_symmetry_space_group_name_Hall '-P 4 2'
loop_
_atom_site_label
_atom_site_fract_x
_atom_site_fract_y
_atom_site_fract_z
Ce1 0.0000 0.0000 0.0000
Cd1 0.5000 0.5000 0.0000
As1 0.0000 0.5000 0.5000
```

---

No. 4
First-principles (PBE-GGA) data for a geometry-optimized Pm3YPt2 structure, as listed in the Alexandria database.

Properties
ΔH_f (0 K), meV per atom: -774
Crystal system: orthorhombic
Magnetic moment, μB per cell: 0.00
Electronic total energy, eV per cell: -149.78
E above lowest polymorph, meV/atom: 80.8

The structure in CIF format:
```
data_Pm3YPt2
_cell_length_a 7.0194
_cell_length_b 13.9572
_cell_length_c 7.2693
_cell_angle_alpha 90.00
_cell_angle_beta 90.00
_cell_angle_gamma 90.00
_symmetry_space_group_name_H-M 'I b a m'
_symmetry_Int_Tables_number 72
_symmetry_space_group_name_Hall '-I 2 2c'
loop_
_atom_site_label
_atom_site_fract_x
_atom_site_fract_y
_atom_site_fract_z
Pm1 0.0000 0.0000 0.2500
Pm2 0.0000 0.2653 0.2500
Y1 0.0000 0.5000 0.0000
Pt1 0.2116 0.1388 0.0000
```

---

No. 5
First-principles (PBE-GGA) data for a geometry-optimized AcAlSeO6 structure, as listed in the Alexandria database.

Properties
Crystal system: trigonal
Magnetic moment, μB per cell: 0.00
Electronic total energy, eV per cell: -60.48

The structure in CIF format:
```
data_AcAlSeO6
_cell_length_a 4.9932
_cell_length_b 4.9932
_cell_length_c 5.4040
_cell_angle_alpha 90.00
_cell_angle_beta 90.00
_cell_angle_gamma 120.00
_symmetry_space_group_name_H-M 'P 3 1 2'
_symmetry_Int_Tables_number 149
loop_
_symmetry_equiv_pos_as_xyz
'x,y,z'
'-y,x-y,z'
'-x+y,-x,z'
'-y,-x,-z'
'-x+y,y,-z'
'x,x-y,-z'
loop_
_atom_site_label
_atom_site_fract_x
_atom_site_fract_y
_atom_site_fract_z
Ac1 0.0000 0.0000 0.0000
Al1 0.6667 0.3333 0.5000
Se1 0.3333 0.6667 0.5000
O1 0.0122 0.3908 0.6949
```

---

No. 6
First-principles (PBE-GGA) data for a geometry-optimized KLiZn2Ni structure, as listed in the Alexandria database.

Properties
ΔH_f (0 K), meV per atom: 50
Crystal system: tetragonal
Magnetic moment, μB per cell: 0.00
Electronic total energy, eV per cell: -11.09

The structure in CIF format:
```
data_KLiZn2Ni
_cell_length_a 4.7551
_cell_length_b 4.7551
_cell_length_c 4.8667
_cell_angle_alpha 90.00
_cell_angle_beta 90.00
_cell_angle_gamma 90.00
_symmetry_space_group_name_H-M 'P 4/m m m'
_symmetry_Int_Tables_number 123
_symmetry_space_group_name_Hall '-P 4 2'
loop_
_atom_site_label
_atom_site_fract_x
_atom_site_fract_y
_atom_site_fract_z
K1 0.0000 0.0000 0.0000
Li1 0.5000 0.5000 0.0000
Zn1 0.0000 0.5000 0.5000
Ni1 0.5000 0.5000 0.5000
```

---

No. 7
First-principles (PBE-GGA) data for a geometry-optimized LiCd3Ni8 structure, as listed in the Alexandria database.

Properties
ΔH_f (0 K), meV per atom: -2
Crystal system: trigonal
Magnetic moment, μB per cell: 6.56
Electronic total energy, eV per cell: -152.81

The structure in CIF format:
```
data_LiCd3Ni8
_cell_length_a 4.8566
_cell_length_b 4.8566
_cell_length_c 23.7442
_cell_angle_alpha 90.00
_cell_angle_beta 90.00
_cell_angle_gamma 120.00
_symmetry_space_group_name_H-M 'R 3 m'
_symmetry_Int_Tables_number 160
_symmetry_space_group_name_Hall 'R 3 -2"'
loop_
_atom_site_label
_atom_site_fract_x
_atom_site_fract_y
_atom_site_fract_z
Li1 0.0000 0.0000 0.0000
Cd1 0.0000 0.0000 0.3709
Cd2 0.0000 0.0000 0.4981
Cd3 0.0000 0.0000 0.8778
Ni1 0.0000 0.0000 0.1864
Ni2 0.0000 0.0000 0.6862
Ni3 0.9997 0.4998 0.4357
Ni4 0.1670 0.3340 0.2704
```

---

No. 8
First-principles (PBE-GGA) data for a geometry-optimized CdBr3 structure, as listed in the Alexandria database.

Properties
Crystal system: hexagonal
Magnetic moment, μB per cell: 0.00
Electronic total energy, eV per cell: -14.75

The structure in CIF format:
```
data_CdBr3
_cell_length_a 8.9683
_cell_length_b 8.9683
_cell_length_c 3.7752
_cell_angle_alpha 90.00
_cell_angle_beta 90.00
_cell_angle_gamma 120.00
_symmetry_space_group_name_H-M 'P 63/m m c'
_symmetry_Int_Tables_number 194
_symmetry_space_group_name_Hall '-P 6c 2c'
loop_
_atom_site_label
_atom_site_fract_x
_atom_site_fract_y
_atom_site_fract_z
Cd1 0.3333 0.6667 0.2500
Br1 0.1985 0.3970 0.7500
```